No. 1
The following is a GGA-PBEsol calculation of a relaxed structure of ZnH6C2O6, from Alexandria via LeMat-Bulk.

Values from the calculation:
- space group = P2_1/c
- energy (eV/cell) = -350.35
- calculated volume (Å³/atom) = 9.25
- crystal system = monoclinic

The structure in POSCAR format:
```
ZnH6C2O6
1.0
7.0214 0.0000 0.0000
0.0000 8.6000 -0.0325
0.0000 -1.2280 9.1930
O H C Zn
24 24 8 4
direct
0.1318 0.4083 0.3118 O
0.1531 0.7885 0.0084 O
0.2145 0.5624 0.0945 O
0.0097 0.2802 0.5707 O
0.2588 0.0878 0.4113 O
0.0910 0.1003 0.2090 O
0.9903 0.7198 0.4293 O
0.2412 0.0878 0.9113 O
0.5097 0.7198 0.9293 O
0.3682 0.4083 0.8118 O
0.7145 0.4376 0.4055 O
0.2855 0.5624 0.5945 O
0.4090 0.1003 0.7090 O
0.3469 0.7885 0.5084 O
0.8469 0.2115 0.9916 O
0.4903 0.2802 0.0707 O
0.7412 0.9122 0.5887 O
0.6531 0.2115 0.4916 O
0.6318 0.5917 0.1882 O
0.8682 0.5917 0.6882 O
0.5910 0.8997 0.2910 O
0.7855 0.4376 0.9055 O
0.9090 0.8997 0.7910 O
0.7588 0.9122 0.0887 O
0.8964 0.7891 0.4888 H
0.6036 0.7891 0.9888 H
0.8781 0.2390 0.5431 H
0.9000 0.7018 0.7295 H
0.2775 0.9229 0.2316 H
0.6000 0.7018 0.2295 H
0.8441 0.5306 0.7721 H
0.1000 0.2982 0.2705 H
0.3964 0.2109 0.0112 H
0.1219 0.7610 0.4569 H
0.4000 0.2982 0.7705 H
0.7775 0.0771 0.2684 H
0.0399 0.3242 0.8755 H
0.2225 0.9229 0.7316 H
0.9601 0.6758 0.1245 H
0.4601 0.3242 0.3755 H
0.1559 0.4694 0.2279 H
0.3441 0.4694 0.7279 H
0.6219 0.2390 0.0431 H
0.6559 0.5306 0.2721 H
0.3781 0.7610 0.9569 H
0.5399 0.6758 0.6245 H
0.7225 0.0771 0.7684 H
0.1036 0.2109 0.5112 H
0.7895 0.9666 0.7177 C
0.2105 0.0334 0.2823 C
0.6053 0.3248 0.4232 C
0.7105 0.9666 0.2177 C
0.1053 0.6752 0.0768 C
0.8947 0.3248 0.9232 C
0.3947 0.6752 0.5768 C
0.2895 0.0334 0.7823 C
0.0000 0.5000 0.5000 Zn
0.5000 0.0000 0.5000 Zn
0.0000 0.0000 0.0000 Zn
0.5000 0.5000 0.0000 Zn
```


No. 2
The following is a GGA-PBEsol calculation of a relaxed structure of ZnH4C2O6, from Alexandria via LeMat-Bulk.

Values from the calculation:
- space group = C2/c
- energy (eV/cell) = -161.33
- calculated volume (Å³/atom) = 9.60
- crystal system = monoclinic

The structure in POSCAR format:
```
ZnH4C2O6
1.0
5.4707 0.0000 0.0000
2.7354 6.0313 -0.0089
2.7354 0.1534 7.5615
O H Zn C
12 8 2 4
direct
0.3776 0.7483 0.0711 O
0.9674 0.7477 0.0707 O
0.0326 0.2523 0.9293 O
0.6224 0.2517 0.9289 O
0.8031 0.2483 0.5711 O
0.2665 0.5918 0.7427 O
0.6010 0.9082 0.7573 O
0.1969 0.7517 0.4289 O
0.7858 0.7523 0.4293 O
0.3990 0.0918 0.2427 O
0.2142 0.2477 0.5707 O
0.7335 0.4082 0.2573 O
0.5039 0.8335 0.8595 H
0.8031 0.3335 0.3595 H
0.3506 0.1657 0.3552 H
0.1969 0.6665 0.6405 H
0.6494 0.8343 0.6448 H
0.4961 0.1665 0.1405 H
0.8715 0.3343 0.1448 H
0.1285 0.6657 0.8552 H
0.5811 0.7500 0.2500 Zn
0.4189 0.2500 0.7500 Zn
0.0305 0.7511 0.3525 C
0.8659 0.2511 0.8525 C
0.9695 0.2489 0.6475 C
0.1341 0.7489 0.1475 C
```


No. 3
The following is a GGA-PBEsol calculation of a relaxed structure of Zn7H10C2O16, from Alexandria via LeMat-Bulk.

Values from the calculation:
- space group = C2/c
- energy (eV/cell) = -383.77
- calculated volume (Å³/atom) = 9.08
- crystal system = monoclinic

The structure in POSCAR format:
```
Zn7H10C2O16
1.0
-4.6879 -2.2553 1.3943
3.1428 -3.9028 -6.1478
7.4598 -8.7276 10.9641
H Zn O C
20 14 32 4
direct
0.2113 0.7597 0.5521 H
0.2926 0.6790 0.6846 H
0.9580 0.2100 0.7175 H
0.4516 0.2403 0.9479 H
0.7074 0.3210 0.3154 H
0.9331 0.8406 0.4259 H
0.0669 0.1594 0.5741 H
0.0925 0.1594 0.0741 H
0.7992 0.6674 0.6707 H
0.8683 0.6674 0.1707 H
0.1317 0.3326 0.8293 H
0.5484 0.7597 0.0521 H
0.2520 0.2100 0.2175 H
0.0420 0.7900 0.2825 H
0.2008 0.3326 0.3293 H
0.6136 0.3210 0.8154 H
0.9075 0.8406 0.9259 H
0.3864 0.6790 0.1846 H
0.7887 0.2403 0.4479 H
0.7480 0.7900 0.7825 H
0.0979 0.7187 0.0364 Zn
0.1976 0.0000 0.7500 Zn
0.8024 0.0000 0.2500 Zn
0.5265 0.5596 0.9092 Zn
0.9021 0.2813 0.9636 Zn
0.0331 0.5596 0.4092 Zn
0.6208 0.7187 0.5364 Zn
0.4265 0.3959 0.6863 Zn
0.4735 0.4404 0.0908 Zn
0.5735 0.6041 0.3137 Zn
0.9669 0.4404 0.5908 Zn
0.0306 0.6041 0.8137 Zn
0.3792 0.2813 0.4636 Zn
0.9694 0.3959 0.1863 Zn
0.2489 0.0179 0.4216 O
0.0773 0.2806 0.0705 O
0.2311 0.9821 0.0784 O
0.4496 0.0688 0.8484 O
0.2033 0.2806 0.5705 O
0.8061 0.4432 0.2997 O
0.6371 0.4432 0.7997 O
0.1939 0.5568 0.7003 O
0.7650 0.3485 0.4765 O
0.9052 0.7826 0.7520 O
0.5835 0.3485 0.9765 O
0.5281 0.2102 0.1560 O
0.4719 0.7898 0.8440 O
0.6192 0.0688 0.3484 O
0.6820 0.2102 0.6560 O
0.7511 0.9821 0.5784 O
0.2900 0.4229 0.3804 O
0.8774 0.7826 0.2520 O
0.0948 0.2174 0.2480 O
0.2350 0.6515 0.5235 O
0.1226 0.2174 0.7480 O
0.3808 0.9312 0.6516 O
0.9227 0.7194 0.9295 O
0.7100 0.5771 0.6196 O
0.5504 0.9312 0.1516 O
0.8671 0.5771 0.1196 O
0.7689 0.0179 0.9216 O
0.4165 0.6515 0.0235 O
0.7967 0.7194 0.4295 O
0.3180 0.7898 0.3440 O
0.1329 0.4229 0.8804 O
0.3629 0.5568 0.2003 O
0.3961 0.9579 0.3717 C
0.6039 0.0421 0.6283 C
0.4381 0.0421 0.1283 C
0.5619 0.9579 0.8717 C
```


No. 4
The following is a GGA-PBEsol calculation of a relaxed structure of Hf3C, from Alexandria via LeMat-Bulk.

Values from the calculation:
- calculated formation energy (meV/atom) = 800
- space group = I4/mmm
- calculated volume (Å³/atom) = 16.79
- crystal system = tetragonal

The structure in POSCAR format:
```
Hf3C
1.0
-2.8483 0.7218 2.5183
-0.4867 -3.8011 0.5391
4.6506 1.6324 1.8187
C Hf
1 3
direct
0.0000 0.0000 0.0000 C
0.5000 0.5000 0.0000 Hf
0.2500 0.7500 0.5000 Hf
0.7500 0.2500 0.5000 Hf
```


No. 5
The following is a GGA-PBEsol calculation of a relaxed structure of Hf2HgC, from Alexandria via LeMat-Bulk.

Values from the calculation:
- calculated formation energy (meV/atom) = -74
- space group = I-42d
- calculated volume (Å³/atom) = 18.04
- crystal system = tetragonal

The structure in POSCAR format:
```
Hf2HgC
1.0
5.7230 0.0381 0.0641
-1.9852 5.3678 -0.0641
-1.9852 -2.6226 4.6840
Hg Hf C
2 4 2
direct
0.0000 0.0000 0.0000 Hg
0.5000 0.7500 0.2500 Hg
0.4192 0.5442 0.6250 Hf
0.5808 0.2058 0.1250 Hf
0.0808 0.8750 0.4558 Hf
0.9192 0.3750 0.7942 Hf
0.5000 0.2500 0.7500 C
0.0000 0.5000 0.5000 C
```


No. 6
The following is a GGA-PBEsol calculation of a relaxed structure of HfInHgC2, from Alexandria via LeMat-Bulk.

Values from the calculation:
- calculated formation energy (meV/atom) = 1474
- space group = P4/mmm
- calculated volume (Å³/atom) = 20.84
- crystal system = tetragonal

The structure in POSCAR format:
```
HfInHgC2
1.0
-1.7458 -2.1515 3.2065
1.1172 -3.6499 -1.8407
5.0615 0.1192 2.8358
C Hg In Hf
2 1 1 1
direct
0.0000 0.5000 0.0000 C
0.5000 0.0000 0.0000 C
0.5000 0.5000 0.5000 Hg
0.0000 0.0000 0.5000 In
0.0000 0.0000 0.0000 Hf
```